No. 1
# SmHoPb GGA-PBE optimized geometry
data_SmHoPb
_chemical_formula_sum 'Sm4 Ho4 Pb4'
_space_group_name_H-M_alt 'C m c m'
_space_group_IT_number 63
_space_group_name_Hall '-C 2c 2'
_cell_length_a 3.465
_cell_length_b 17.966
_cell_length_c 6.093
_cell_angle_alpha 90.00
_cell_angle_beta 90.00
_cell_angle_gamma 90.00
loop_
_atom_site_label
_atom_site_fract_x
_atom_site_fract_y
_atom_site_fract_z
Sm1 0.000 0.165 0.250
Ho1 0.000 0.500 0.000
Pb1 0.000 0.343 0.250
# **Formation energy from the elements**: -0.171 eV per atom
# **Distance to the lowest polymorph of the same formula**: 266 meV per atom



No. 2
# SmHoPb GGA-PBE optimized geometry
data_SmHoPb
_chemical_formula_sum 'Sm2 Ho2 Pb2'
_space_group_name_H-M_alt 'P 1 21/m 1'
_space_group_IT_number 11
_cell_length_a 3.619
_cell_length_b 5.296
_cell_length_c 9.930
_cell_angle_alpha 90.00
_cell_angle_beta 100.32
_cell_angle_gamma 90.00
loop_
_space_group_symop_operation_xyz
'x,y,z'
'-x,-y,-z'
'-x,y+1/2,-z'
'x,-y+1/2,z'
loop_
_atom_site_label
_atom_site_fract_x
_atom_site_fract_y
_atom_site_fract_z
Sm1 0.102 0.250 0.208
Ho1 0.286 0.250 0.573
Pb1 0.456 0.250 0.902
# **Formation energy from the elements**: -0.201 eV per atom
# **Distance to the lowest polymorph of the same formula**: 236 meV per atom



No. 3
# SmHo2Pb GGA-PBE optimized geometry
data_SmHo2Pb
_chemical_formula_sum 'Sm1 Ho2 Pb1'
_space_group_name_H-M_alt 'P 4/m m m'
_space_group_IT_number 123
_space_group_name_Hall '-P 4 2'
_cell_length_a 4.883
_cell_length_b 4.883
_cell_length_c 4.853
_cell_angle_alpha 90.00
_cell_angle_beta 90.00
_cell_angle_gamma 90.00
loop_
_atom_site_label
_atom_site_fract_x
_atom_site_fract_y
_atom_site_fract_z
Sm1 0.000 0.000 0.000
Ho1 0.000 0.500 0.500
Pb1 0.500 0.500 0.000
# **Formation energy from the elements**: -0.283 eV per atom
# **Distance to the lowest polymorph of the same formula**: 16 meV per atom



No. 4
# Sm3HoPb4 GGA-PBE optimized geometry
data_Sm3HoPb4
_chemical_formula_sum 'Sm6 Ho2 Pb8'
_space_group_name_H-M_alt 'P m n 21'
_space_group_IT_number 31
_cell_length_a 11.234
_cell_length_b 6.493
_cell_length_c 6.494
_cell_angle_alpha 90.00
_cell_angle_beta 90.00
_cell_angle_gamma 90.00
loop_
_space_group_symop_operation_xyz
'x,y,z'
'-x+1/2,-y,z+1/2'
'-x,y,z'
'x+1/2,-y,z+1/2'
loop_
_atom_site_label
_atom_site_fract_x
_atom_site_fract_y
_atom_site_fract_z
Sm1 0.000 0.000 0.000
Sm2 0.250 0.251 0.250
Ho1 0.000 0.500 0.500
Pb1 0.000 0.000 0.500
Pb2 0.000 0.500 0.000
Pb3 0.250 0.250 0.750
# **Formation energy from the elements**: -0.468 eV per atom



No. 5
# SmHoPb GGA-PBE optimized geometry
data_SmHoPb
_chemical_formula_sum 'Sm1 Ho1 Pb1'
_space_group_name_H-M_alt 'P 3 m 1'
_space_group_IT_number 156
_cell_length_a 5.2453
_cell_length_b 5.2453
_cell_length_c 3.8983
_cell_angle_alpha 90.00
_cell_angle_beta 90.00
_cell_angle_gamma 120.00
loop_
_space_group_symop_operation_xyz
'x,y,z'
'-y,x-y,z'
'-x+y,-x,z'
'-y,-x,z'
'-x+y,y,z'
'x,x-y,z'
loop_
_atom_site_label
_atom_site_fract_x
_atom_site_fract_y
_atom_site_fract_z
Sm1 0.0000 0.0000 0.0000
Ho1 0.6667 0.3333 0.4575
Pb1 0.3333 0.6667 0.6506
# **Formation energy from the elements**: -0.210 eV per atom
# **Distance to the lowest polymorph of the same formula**: 227 meV per atom



No. 6
# SmHoPb GGA-PBE optimized geometry
data_SmHoPb
_chemical_formula_sum 'Sm2 Ho2 Pb2'
_space_group_name_H-M_alt 'I 4 m m'
_space_group_IT_number 107
_space_group_name_Hall 'I 4 -2'
_cell_length_a 3.353
_cell_length_b 3.353
_cell_length_c 17.927
_cell_angle_alpha 90.00
_cell_angle_beta 90.00
_cell_angle_gamma 90.00
loop_
_atom_site_label
_atom_site_fract_x
_atom_site_fract_y
_atom_site_fract_z
Sm1 0.000 0.000 0.000
Ho1 0.000 0.000 0.191
Pb1 0.000 0.000 0.823
# **Formation energy from the elements**: 0.227 eV per atom
# **Distance to the lowest polymorph of the same formula**: 664 meV per atom



No. 7
# Sm8Ho2Pb GGA-PBE optimized geometry
data_Sm8Ho2Pb
_chemical_formula_sum 'Sm16 Ho4 Pb2'
_space_group_name_H-M_alt 'C 1 2/m 1'
_space_group_IT_number 12
_cell_length_a 18.289
_cell_length_b 5.000
_cell_length_c 8.052
_cell_angle_alpha 90.00
_cell_angle_beta 105.52
_cell_angle_gamma 90.00
loop_
_space_group_symop_operation_xyz
'x,y,z'
'-x,-y,-z'
'-x,y,-z'
'x,-y,z'
'x+1/2,y+1/2,z'
'-x+1/2,-y+1/2,-z'
'-x+1/2,y+1/2,-z'
'x+1/2,-y+1/2,z'
loop_
_atom_site_label
_atom_site_fract_x
_atom_site_fract_y
_atom_site_fract_z
Sm1 0.044 0.000 0.227
Sm2 0.091 0.500 0.943
Sm3 0.137 0.000 0.681
Sm4 0.180 0.500 0.407
Ho1 0.224 0.000 0.133
Pb1 0.000 0.500 0.500
# **Formation energy from the elements**: -0.078 eV per atom



No. 8
# Sm6Ho8Pb GGA-PBE optimized geometry
data_Sm6Ho8Pb
_chemical_formula_sum 'Sm6 Ho8 Pb1'
_space_group_name_H-M_alt 'P -3'
_space_group_IT_number 147
_cell_length_a 9.2703
_cell_length_b 9.2703
_cell_length_c 6.7130
_cell_angle_alpha 90.00
_cell_angle_beta 90.00
_cell_angle_gamma 120.00
loop_
_space_group_symop_operation_xyz
'x,y,z'
'-x,-y,-z'
'-y,x-y,z'
'y,-x+y,-z'
'-x+y,-x,z'
'x-y,x,-z'
loop_
_atom_site_label
_atom_site_fract_x
_atom_site_fract_y
_atom_site_fract_z
Sm1 0.0776 0.6825 0.3947
Ho1 0.0160 0.3278 0.1096
Ho2 0.3333 0.6667 0.8232
Pb1 0.0000 0.0000 0.5000
# **Formation energy from the elements**: 0.179 eV per atom



No. 9
# SmHo2Pb9 GGA-PBE optimized geometry
data_SmHo2Pb9
_chemical_formula_sum 'Sm1 Ho2 Pb9'
_space_group_name_H-M_alt 'P 4/m m m'
_space_group_IT_number 123
_space_group_name_Hall '-P 4 2'
_cell_length_a 4.887
_cell_length_b 4.887
_cell_length_c 14.645
_cell_angle_alpha 90.00
_cell_angle_beta 90.00
_cell_angle_gamma 90.00
loop_
_atom_site_label
_atom_site_fract_x
_atom_site_fract_y
_atom_site_fract_z
Sm1 0.000 0.000 0.000
Ho1 0.000 0.000 0.334
Pb1 0.000 0.500 0.169
Pb2 0.000 0.500 0.500
Pb3 0.500 0.500 0.000
Pb4 0.500 0.500 0.335
# **Formation energy from the elements**: -0.287 eV per atom



No. 10
# Sm2HoPb9 GGA-PBE optimized geometry
data_Sm2HoPb9
_chemical_formula_sum 'Sm2 Ho1 Pb9'
_space_group_name_H-M_alt 'P 4/m m m'
_space_group_IT_number 123
_space_group_name_Hall '-P 4 2'
_cell_length_a 4.898
_cell_length_b 4.898
_cell_length_c 14.683
_cell_angle_alpha 90.00
_cell_angle_beta 90.00
_cell_angle_gamma 90.00
loop_
_atom_site_label
_atom_site_fract_x
_atom_site_fract_y
_atom_site_fract_z
Sm1 0.000 0.000 0.167
Ho1 0.000 0.000 0.500
Pb1 0.000 0.500 0.000
Pb2 0.000 0.500 0.336
Pb3 0.500 0.500 0.168
Pb4 0.500 0.500 0.500
# **Formation energy from the elements**: -0.315 eV per atom



No. 11
# Sm3HoPb GGA-PBE optimized geometry
data_Sm3HoPb
_chemical_formula_sum 'Sm24 Ho8 Pb8'
_space_group_name_H-M_alt 'C 1 2/c 1'
_space_group_IT_number 15
_cell_length_a 17.460
_cell_length_b 6.186
_cell_length_c 11.998
_cell_angle_alpha 90.00
_cell_angle_beta 108.62
_cell_angle_gamma 90.00
loop_
_space_group_symop_operation_xyz
'x,y,z'
'-x,-y,-z'
'-x,y,-z+1/2'
'x,-y,z+1/2'
'x+1/2,y+1/2,z'
'-x+1/2,-y+1/2,-z'
'-x+1/2,y+1/2,-z+1/2'
'x+1/2,-y+1/2,z+1/2'
loop_
_atom_site_label
_atom_site_fract_x
_atom_site_fract_y
_atom_site_fract_z
Sm1 0.051 0.237 0.006
Sm2 0.096 0.406 0.749
Sm3 0.205 0.051 0.246
Ho1 0.151 0.266 0.496
Pb1 0.000 0.088 0.250
Pb2 0.250 0.250 0.000
# **Formation energy from the elements**: -0.212 eV per atom



No. 12
# SmHo2Pb GGA-PBE optimized geometry
data_SmHo2Pb
_chemical_formula_sum 'Sm1 Ho2 Pb1'
_space_group_name_H-M_alt 'P 4/m m m'
_space_group_IT_number 123
_space_group_name_Hall '-P 4 2'
_cell_length_a 3.630
_cell_length_b 3.630
_cell_length_c 9.305
_cell_angle_alpha 90.00
_cell_angle_beta 90.00
_cell_angle_gamma 90.00
loop_
_atom_site_label
_atom_site_fract_x
_atom_site_fract_y
_atom_site_fract_z
Sm1 0.000 0.000 0.000
Ho1 0.500 0.500 0.268
Pb1 0.000 0.000 0.500
# **Formation energy from the elements**: -0.201 eV per atom
# **Distance to the lowest polymorph of the same formula**: 98 meV per atom



no.,DFT total energy (eV/atom)
1,-4.506
2,-4.536
3,-4.679
4,-4.664
5,-4.545
6,-4.108
7,-4.680
8,-4.397
9,-4.224
10,-4.265
11,-4.700
12,-4.597